DFT (GGA-PBE) results for a relaxed LiAgTe2 crystal.

Lattice parameters (Å, degrees): 3.254 5.017 5.878 90.00 90.00 90.00
Positions (direct):
Li 0.000 0.000 0.000
Ag 0.500 0.500 0.500
Te 0.000 0.000 0.500
Te 0.500 0.500 0.000

Results
- Crystal system: orthorhombic
- Formation energy (no corrections): -1.36 eV per formula unit